No. 1
A plane-wave DFT calculation with GGA-PBE was carried out for crystalline Nd3ThAu4 at its relaxed geometry.

Output
Energy of formation ... -546 kJ/mol of formula units
Space group ... Pmmm, No. 47
Total magnetic moment ... 0.000 μB/atom
VASP energy ... -40.5 eV for the cell shown
V ... 205.2 Å³/f.u.

abc: 3.6682 5.2867 10.5835
angles: 90.00 90.00 90.00
Last column: nearest neighbours and their distance in Å.
Fractional coordinates of all 8 atoms:
1 Nd 0.0000 0.0000 0.0000  8 Au 3.22-3.23
2 Nd 0.0000 0.5000 0.2480  8 Au 3.20-3.24
3 Nd 0.0000 0.5000 0.7520  8 Au 3.20-3.24
4 Th 0.0000 0.0000 0.5000  8 Au 3.21-3.22
5 Au 0.5000 0.0000 0.2514  2 Th 3.21, 6 Nd 3.22-3.23
6 Au 0.5000 0.0000 0.7486  2 Th 3.21, 6 Nd 3.22-3.23
7 Au 0.5000 0.5000 0.0000  8 Nd 3.20-3.22
8 Au 0.5000 0.5000 0.5000  4 Th 3.22, 4 Nd 3.24


No. 2
A plane-wave DFT calculation with GGA-PBE was carried out for crystalline NdThTlAu at its relaxed geometry.

Output
Energy of formation ... -145 kJ/mol of formula units
Space group ... F-43m, No. 216
Total magnetic moment ... 0.188 μB/atom
VASP energy ... -19.3 eV for the cell shown
V ... 111.4 Å³/f.u.

abc: 5.4001 5.4001 5.4001
angles: 60.00 60.00 60.00
Last column: nearest neighbours and their distance in Å.
Fractional coordinates of all 4 atoms:
1 Nd 0.0000 0.0000 0.0000  4 Tl 3.31, 4 Au 3.31
2 Th 0.5000 0.5000 0.5000  4 Tl 3.31, 4 Au 3.31
3 Tl 0.2500 0.2500 0.2500  4 Th 3.31, 4 Nd 3.31
4 Au 0.7500 0.7500 0.7500  4 Th 3.31, 4 Nd 3.31


No. 3
A plane-wave DFT calculation with GGA-PBE was carried out for crystalline NdThZnAu at its relaxed geometry.

Output
Energy of formation ... -155 kJ/mol of formula units
Space group ... F-43m, No. 216
Total magnetic moment ... 0.034 μB/atom
VASP energy ... -18.3 eV for the cell shown
V ... 101.6 Å³/f.u.

abc: 5.2373 5.2373 5.2373
angles: 60.00 60.00 60.00
Last column: nearest neighbours and their distance in Å.
Fractional coordinates of all 4 atoms:
1 Nd 0.0000 0.0000 0.0000  4 Au 3.21, 4 Zn 3.21
2 Th 0.5000 0.5000 0.5000  4 Zn 3.21, 4 Au 3.21
3 Zn 0.2500 0.2500 0.2500  4 Th 3.21, 4 Nd 3.21
4 Au 0.7500 0.7500 0.7500  4 Th 3.21, 4 Nd 3.21


No. 4
A plane-wave DFT calculation with GGA-PBE was carried out for crystalline NdTiAu at its relaxed geometry.

Output
Energy of formation ... -110 kJ/mol of formula units
Space group ... P4/nmm, No. 129
Total magnetic moment ... 0.134 μB/atom
VASP energy ... -34.2 eV for the cell shown
V ... 71.4 Å³/f.u.

abc: 4.5012 4.5012 7.0502
angles: 90.00 90.00 90.00
Last column: nearest neighbours and their distance in Å.
Fractional coordinates of all 6 atoms:
1 Nd 0.2500 0.2500 0.1391  5 Au 2.99-3.35
2 Nd 0.7500 0.7500 0.8609  5 Au 2.99-3.35
3 Ti 0.2500 0.7500 0.5000  4 Au 2.71
4 Ti 0.7500 0.2500 0.5000  4 Au 2.71
5 Au 0.2500 0.2500 0.7144  4 Ti 2.71, 1 Nd 2.99
6 Au 0.7500 0.7500 0.2856  4 Ti 2.71, 1 Nd 2.99